Crystalline Zr4FeMo at its relaxed geometry. Source: Alexandria, functional PBE-GGA.

Calculated values
Density of states at the Fermi level (states/eV/f.u.): 13.2
E_form (eV/atom): 0.77
Space group: F-43m

```
Zr4FeMo
1.0
0.0000 3.9675 3.9675
3.9675 0.0000 3.9675
3.9675 3.9675 0.0000
Zr Mo Fe
4 1 1
direct
0.3744 0.3744 0.3744
0.8768 0.3744 0.3744
0.3744 0.8768 0.3744
0.3744 0.3744 0.8768
0.0000 0.0000 0.0000
0.7500 0.7500 0.7500
```